Entry 1:
Below is a geometry-optimized MgIr2Os structure, with properties calculated at the GGA-PBE level.

POSCAR file:
```
MgIr2Os
1.0
5.1751 -0.0012 -0.0020
2.3403 4.6157 0.0020
-3.1779 -3.2515 2.4718
Ir Os Mg
2 1 1
Direct
0.5044 0.5044 0.0000
0.9956 0.9956 0.0000
0.2500 0.7500 0.5000
0.7500 0.2500 0.5000
```

Properties
Calculated volume, Å³/atom: 14.77
Symmetry: No. 71



Entry 2:
Below is a geometry-optimized MgIr2Os structure, with properties calculated at the GGA-PBE level.

POSCAR file:
```
MgIr2Os
1.0
4.3837 0.0000 0.0000
2.1919 3.7964 0.0000
2.1919 1.2655 3.5793
Os Mg Ir
1 1 2
Direct
0.2500 0.2500 0.2500
0.5000 0.5000 0.5000
0.7500 0.7500 0.7500
0.0000 0.0000 0.0000
```

Properties
Calculated volume, Å³/atom: 14.89
Symmetry: No. 216



Entry 3:
Below is a geometry-optimized MgPaIrOs structure, with properties calculated at the GGA-PBE level.

POSCAR file:
```
MgPaIrOs
1.0
4.7071 0.0000 0.0000
2.3536 4.0765 0.0000
2.3536 1.3588 3.8433
Os Ir Pa Mg
1 1 1 1
Direct
0.0000 0.0000 0.0000
0.5000 0.5000 0.5000
0.7500 0.7500 0.7500
0.2500 0.2500 0.2500
```

Properties
Calculated volume, Å³/atom: 18.44
Symmetry: No. 216



Formation energy values, unit eV per atom, following the record order: 0.1950 0.2662 -0.3495.
D(E_F) values, unit states/eV per cell, following the record order: 3.7 2.7 2.9.